A plane-wave DFT calculation with PBE was carried out for crystalline Pr7Y6Tm16 at its relaxed geometry.

```
Pr7Y6Tm16
1.0
0.000 7.913 7.913
7.913 0.000 7.913
7.913 7.913 0.000
Pr Y Tm
7 6 16
Cartesian
0.000 0.000 0.000 Pr
3.957 3.957 0.000 Pr
3.957 0.000 3.957 Pr
7.913 3.957 3.957 Pr
0.000 3.957 3.957 Pr
3.957 7.913 3.957 Pr
3.957 3.957 7.913 Pr
7.913 7.913 4.151 Y
7.913 4.151 7.913 Y
11.676 7.913 7.913 Y
4.151 7.913 7.913 Y
7.913 11.676 7.913 Y
7.913 7.913 11.676 Y
10.323 5.503 5.503 Tm
2.029 2.029 2.029 Tm
5.884 5.884 2.029 Tm
5.884 2.029 5.884 Tm
5.503 5.503 5.503 Tm
10.323 10.323 5.503 Tm
10.323 5.503 10.323 Tm
13.797 9.942 9.942 Tm
2.029 5.884 5.884 Tm
5.503 10.323 5.503 Tm
5.503 5.503 10.323 Tm
10.323 10.323 10.323 Tm
9.942 13.797 9.942 Tm
9.942 9.942 13.797 Tm
13.797 13.797 13.797 Tm
5.503 10.323 10.323 Tm
```

Summary:
For the calculated formation energy, the calculation gives 0.251 eV per atom. As for the total moment: 0.00 μB/f.u. The calculation puts the total energy at -4.71 eV per atom. Its space-group type is No. 225.